# 1
The following is a PBE-GGA calculation of a geometry-optimized Li2CoCl structure, from Alexandria via LeMat-Bulk.

Computed properties:
The total energy comes out at -3.272 eV per atom. The calculation puts the density of states at the Fermi level at 9.27 states/eV/cell. Its offset from the most stable computed form is 277.7 meV/atom. The uncorrected formation energy comes out at -0.31 eV per formula unit. The total magnetization comes out at 0.392 μB per atom.

Cell: 3.0914 3.0914 24.7906 Å, 90.00 90.00 120.00°
Space group R3m (No. 160, hexagonal axes)
Asymmetric unit:
Li (0.0000, 0.0000, 0.0000) x3
Li (0.0000, 0.0000, 0.2196) x3
Co (0.0000, 0.0000, 0.7494) x3
Cl (0.0000, 0.0000, 0.4902) x3

---

# 2
The following is a PBE-GGA calculation of a geometry-optimized KSiTe2 structure, from Alexandria via LeMat-Bulk.

Computed properties:
The total energy comes out at -3.416 eV per atom. The calculation puts the density of states at the Fermi level at 2.03 states/eV/cell. The uncorrected formation energy comes out at -0.86 eV per formula unit. The total magnetization comes out at 0.000 μB per atom.

Cell: 4.0329 4.0329 8.4566 Å, 90.00 90.00 90.00°
Space group P4mm (No. 99)
Asymmetric unit:
K (0.0000, 0.0000, 0.0000) x1
Si (0.5000, 0.5000, 0.4849) x1
Te (0.0000, 0.0000, 0.4158) x1
Te (0.5000, 0.5000, 0.7812) x1

---

# 3
The following is a PBE-GGA calculation of a geometry-optimized InFePt2 structure, from Alexandria via LeMat-Bulk.

Computed properties:
The total energy comes out at -5.732 eV per atom. The calculation puts the density of states at the Fermi level at 11.04 states/eV/cell. The total magnetization comes out at 0.789 μB per atom. Its formation energy is 0.0890 eV/atom.

Cell: 3.9539 3.9539 18.1221 Å, 90.00 90.00 90.00°
Space group I-42d (No. 122)
Asymmetric unit:
In (0.0000, 0.0000, 0.0000) x4
Fe (0.0000, 0.0000, 0.5000) x4
Pt (0.2351, 0.2500, 0.6250) x8

---

# 4
The following is a PBE-GGA calculation of a geometry-optimized TlSb2Cl structure, from Alexandria via LeMat-Bulk.

Computed properties:
The total energy comes out at -3.039 eV per atom. The calculation puts the density of states at the Fermi level at 2.90 states/eV/cell. Its offset from the most stable computed form is 479.1 meV/atom. The uncorrected formation energy comes out at 0.30 eV per formula unit. The total magnetization comes out at 0.000 μB per atom.

Cell: 3.2909 3.2909 9.8294 Å, 90.00 90.00 90.00°
Space group P4/mmm (No. 123)
Asymmetric unit:
Tl (0.0000, 0.0000, 0.0000) x1
Sb (0.5000, 0.5000, 0.2667) x2
Cl (0.0000, 0.0000, 0.5000) x1

---

# 5
The following is a PBE-GGA calculation of a geometry-optimized AuSeBr2 structure, from Alexandria via LeMat-Bulk.

Computed properties:
The total energy comes out at -2.438 eV per atom. The calculation puts the density of states at the Fermi level at 2.17 states/eV/cell. Its offset from the most stable computed form is 134.2 meV/atom. The uncorrected formation energy comes out at 0.36 eV per formula unit. The total magnetization comes out at 0.000 μB per atom.

Cell: 3.7206 3.7206 8.4625 Å, 90.00 90.00 90.00°
Space group P4mm (No. 99)
Asymmetric unit:
Au (0.0000, 0.0000, 0.0000) x1
Se (0.5000, 0.5000, 0.0971) x1
Br (0.0000, 0.0000, 0.7015) x1
Br (0.5000, 0.5000, 0.3761) x1

---

# 6
The following is a PBE-GGA calculation of a geometry-optimized Sb2PtSe structure, from Alexandria via LeMat-Bulk.

Computed properties:
The total energy comes out at -4.667 eV per atom. The calculation puts the density of states at the Fermi level at 3.00 states/eV/cell. The uncorrected formation energy comes out at -0.90 eV per formula unit. The total magnetization comes out at 0.000 μB per atom.

Cell: 3.8161 5.5364 8.8554 Å, 90.00 90.00 90.00°
Space group Amm2 (No. 38)
Asymmetric unit:
Sb (0.0000, 0.0000, 0.0000) x2
Sb (0.5000, 0.0000, 0.2976) x2
Pt (0.5000, 0.0000, 0.7899) x2
Se (0.0000, 0.0000, 0.5848) x2

---

# 7
The following is a PBE-GGA calculation of a geometry-optimized V5MoW structure, from Alexandria via LeMat-Bulk.

Computed properties:
The total energy comes out at -9.716 eV per atom. The calculation puts the density of states at the Fermi level at 32.11 states/eV/cell. Its offset from the most stable computed form is 0.0 meV/atom. The total magnetization comes out at 0.000 μB per atom. Its formation energy is 0.1954 eV/atom.

Cell: 6.7036 7.7176 8.1275 Å, 90.00 105.80 90.00°
Space group C2/c (No. 15)
Asymmetric unit:
V (0.0000, 0.0968, 0.2500) x4
V (0.1026, 0.4155, 0.1416) x8
V (0.1832, 0.0767, 0.0522) x8
Mo (0.0000, 0.2553, 0.7500) x4
W (0.2500, 0.2500, 0.5000) x4

---

# 8
The following is a PBE-GGA calculation of a geometry-optimized LaSm3Sc structure, from Alexandria via LeMat-Bulk.

Computed properties:
The total energy comes out at -5.033 eV per atom. The calculation puts the density of states at the Fermi level at 33.39 states/eV/cell. Its offset from the most stable computed form is 0.0 meV/atom. The total magnetization comes out at 0.000 μB per atom. Its formation energy is 0.0507 eV/atom.

Cell: 18.6413 3.5920 10.0631 Å, 90.00 105.69 90.00°
Space group C2/m (No. 12)
Asymmetric unit:
La (0.1028, 0.0000, 0.0593) x4
Sm (0.0025, 0.5000, 0.7487) x4
Sm (0.1029, 0.0000, 0.5428) x4
Sm (0.2032, 0.5000, 0.8412) x4
Sc (0.2040, 0.5000, 0.3624) x4

---

# 9
The following is a PBE-GGA calculation of a geometry-optimized HfNb3C structure, from Alexandria via LeMat-Bulk.

Computed properties:
The total energy comes out at -10.030 eV per atom. The calculation puts the density of states at the Fermi level at 5.79 states/eV/cell. Its offset from the most stable computed form is 0.0 meV/atom. The total magnetization comes out at 0.000 μB per atom. Its formation energy is -0.1528 eV/atom.

Cell: 4.3959 4.3959 4.3959 Å, 90.00 90.00 90.00°
Space group Pm-3m (No. 221)
Asymmetric unit:
Hf (0.0000, 0.0000, 0.0000) x1
Nb (0.0000, 0.5000, 0.5000) x3
C (0.5000, 0.5000, 0.5000) x1

---

# 10
The following is a PBE-GGA calculation of a geometry-optimized CuRuRh2 structure, from Alexandria via LeMat-Bulk.

Computed properties:
The total energy comes out at -6.916 eV per atom. The calculation puts the density of states at the Fermi level at 9.81 states/eV/cell. Its offset from the most stable computed form is 73.7 meV/atom. The total magnetization comes out at 0.000 μB per atom. Its formation energy is 0.1022 eV/atom.

Cell: 8.8828 2.7078 4.6400 Å, 90.00 100.11 90.00°
Space group Cm (No. 8)
Asymmetric unit:
Cu (0.0000, 0.0000, 0.0000) x2
Ru (0.2524, 0.5000, 0.2646) x2
Rh (0.2495, 0.0000, 0.7723) x2
Rh (0.4990, 0.0000, 0.4909) x2

---

# 11
The following is a PBE-GGA calculation of a geometry-optimized Ca2TiSi2 structure, from Alexandria via LeMat-Bulk.

Computed properties:
The total energy comes out at -4.288 eV per atom. The calculation puts the density of states at the Fermi level at 10.82 states/eV/cell. Its offset from the most stable computed form is 572.4 meV/atom. The uncorrected formation energy comes out at 1.30 eV per formula unit. The total magnetization comes out at 0.376 μB per atom.

Cell: 3.4732 3.4732 20.4524 Å, 90.00 90.00 90.00°
Space group I4/mmm (No. 139)
Asymmetric unit:
Ca (0.0000, 0.0000, 0.1224) x4
Ti (0.0000, 0.0000, 0.5000) x2
Si (0.0000, 0.5000, 0.2500) x4

---

# 12
The following is a PBE-GGA calculation of a geometry-optimized TlZnF2 structure, from Alexandria via LeMat-Bulk.

Computed properties:
The total energy comes out at -2.996 eV per atom. The calculation puts the density of states at the Fermi level at 16.42 states/eV/cell. Its offset from the most stable computed form is 435.5 meV/atom. The uncorrected formation energy comes out at -4.60 eV per formula unit. The total magnetization comes out at 0.001 μB per atom.

Cell: 6.4419 6.4419 6.4419 Å, 90.00 90.00 90.00°
Space group Fm-3m (No. 225)
Asymmetric unit:
Tl (0.0000, 0.0000, 0.0000) x4
Zn (0.0000, 0.0000, 0.5000) x4
F (0.2500, 0.2500, 0.2500) x8

---

# 13
The following is a PBE-GGA calculation of a geometry-optimized CoAgAs2Br structure, from Alexandria via LeMat-Bulk.

Computed properties:
The total energy comes out at -3.846 eV per atom. The calculation puts the density of states at the Fermi level at 2.16 states/eV/cell. Its offset from the most stable computed form is 0.0 meV/atom. The uncorrected formation energy comes out at 1.70 eV per formula unit. The total magnetization comes out at 0.000 μB per atom.

Cell: 4.2861 4.2861 8.1907 Å, 90.00 90.00 90.00°
Space group P4/mmm (No. 123)
Asymmetric unit:
Co (0.0000, 0.0000, 0.0000) x1
Ag (0.5000, 0.5000, 0.5000) x1
As (0.0000, 0.5000, 0.0000) x2
Br (0.0000, 0.0000, 0.5000) x1

---

# 14
The following is a PBE-GGA calculation of a geometry-optimized NdPuTh structure, from Alexandria via LeMat-Bulk.

Computed properties:
The total energy comes out at -8.711 eV per atom. The calculation puts the density of states at the Fermi level at 14.86 states/eV/cell. Its offset from the most stable computed form is 0.0 meV/atom. The total magnetization comes out at 1.941 μB per atom. Its formation energy is 0.1289 eV/atom.

Cell: 3.5487 3.5487 14.7930 Å, 90.00 90.00 90.00°
Space group I4mm (No. 107)
Asymmetric unit:
Nd (0.0000, 0.0000, 0.0000) x2
Pu (0.0000, 0.0000, 0.3234) x2
Th (0.0000, 0.0000, 0.6722) x2

---

# 15
The following is a PBE-GGA calculation of a geometry-optimized Nd6CoAg structure, from Alexandria via LeMat-Bulk.

Computed properties:
The total energy comes out at -4.769 eV per atom. The calculation puts the density of states at the Fermi level at 21.91 states/eV/cell. The total magnetization comes out at 0.000 μB per atom. Its formation energy is 0.0516 eV/atom.

Cell: 7.2496 11.1560 6.7189 Å, 90.00 107.59 90.00°
Space group C2/m (No. 12)
Asymmetric unit:
Nd (0.1962, 0.1827, 0.2443) x8
Nd (0.2484, 0.5000, 0.2098) x4
Co (0.0000, 0.0000, 0.0000) x2
Ag (0.0000, 0.5000, 0.5000) x2

---

# 16
The following is a PBE-GGA calculation of a geometry-optimized Tb3Zn2Co2 structure, from Alexandria via LeMat-Bulk.

Computed properties:
The total energy comes out at -4.661 eV per atom. The calculation puts the density of states at the Fermi level at 11.23 states/eV/cell. The total magnetization comes out at 0.000 μB per atom. Its formation energy is -0.2825 eV/atom.

Cell: 10.7075 3.7704 7.7701 Å, 90.00 111.52 90.00°
Space group C2/m (No. 12)
Asymmetric unit:
Tb (0.0000, 0.0000, 0.0000) x2
Tb (0.1922, 0.0000, 0.6687) x4
Zn (0.0252, 0.5000, 0.3318) x4
Co (0.1945, 0.5000, 0.9359) x4

---

# 17
The following is a PBE-GGA calculation of a geometry-optimized Cr2MoPt structure, from Alexandria via LeMat-Bulk.

Computed properties:
The total energy comes out at -8.946 eV per atom. The calculation puts the density of states at the Fermi level at 7.85 states/eV/cell. The total magnetization comes out at 0.000 μB per atom. Its formation energy is 0.0835 eV/atom.

Cell: 3.2527 4.1254 8.2956 Å, 90.00 90.00 90.00°
Space group Cmmm (No. 65)
Asymmetric unit:
Cr (0.0000, 0.0000, 0.2469) x4
Mo (0.0000, 0.5000, 0.5000) x2
Pt (0.0000, 0.5000, 0.0000) x2

---

# 18
The following is a PBE-GGA calculation of a geometry-optimized LiCdMo structure, from Alexandria via LeMat-Bulk.

Computed properties:
The total energy comes out at -3.459 eV per atom. The calculation puts the density of states at the Fermi level at 13.98 states/eV/cell. Its offset from the most stable computed form is 799.9 meV/atom. The total magnetization comes out at 0.356 μB per atom. Its formation energy is 1.0939 eV/atom.

Cell: 5.9660 5.9660 5.9660 Å, 90.00 90.00 90.00°
Space group F-43m (No. 216)
Asymmetric unit:
Li (0.0000, 0.0000, 0.0000) x4
Cd (0.2500, 0.2500, 0.7500) x4
Mo (0.2500, 0.2500, 0.2500) x4

---

# 19
The following is a PBE-GGA calculation of a geometry-optimized Ac3InGe2Pd6 structure, from Alexandria via LeMat-Bulk.

Computed properties:
The total energy comes out at -5.298 eV per atom. The calculation puts the density of states at the Fermi level at 5.33 states/eV/cell. The total magnetization comes out at 0.000 μB per atom. Its formation energy is -0.6768 eV/atom.

Cell: 5.9967 5.9967 9.0498 Å, 90.00 90.00 120.00°
Space group P-3m1 (No. 164)
Asymmetric unit:
Ac (0.0000, 0.0000, 0.0000) x1
Ac (0.3333, 0.6667, 0.6571) x2
In (0.0000, 0.0000, 0.5000) x1
Ge (0.3333, 0.6667, 0.0496) x2
Pd (0.1761, 0.3523, 0.2777) x6

---

# 20
The following is a PBE-GGA calculation of a geometry-optimized LiSn3P structure, from Alexandria via LeMat-Bulk.

Computed properties:
The total energy comes out at -3.532 eV per atom. The calculation puts the density of states at the Fermi level at 3.50 states/eV/cell. Its offset from the most stable computed form is 0.0 meV/atom. The total magnetization comes out at 0.000 μB per atom. Its formation energy is 0.3341 eV/atom.

Cell: 5.3241 5.3241 5.3241 Å, 90.00 90.00 90.00°
Space group Pm-3m (No. 221)
Asymmetric unit:
Li (0.0000, 0.0000, 0.0000) x1
Sn (0.0000, 0.5000, 0.5000) x3
P (0.5000, 0.5000, 0.5000) x1

---

# 21
The following is a PBE-GGA calculation of a geometry-optimized AgPdAu2 structure, from Alexandria via LeMat-Bulk.

Computed properties:
The total energy comes out at -3.704 eV per atom. The calculation puts the density of states at the Fermi level at 5.38 states/eV/cell. Its offset from the most stable computed form is 37.2 meV/atom. The total magnetization comes out at 0.000 μB per atom. Its formation energy is -0.0545 eV/atom.

Cell: 6.5277 6.5277 6.5277 Å, 90.00 90.00 90.00°
Space group Fm-3m (No. 225)
Asymmetric unit:
Ag (0.0000, 0.0000, 0.0000) x4
Pd (0.0000, 0.0000, 0.5000) x4
Au (0.2500, 0.2500, 0.2500) x8

---

# 22
The following is a PBE-GGA calculation of a geometry-optimized Sr5Ge3F structure, from Alexandria via LeMat-Bulk.

Computed properties:
The total energy comes out at -3.808 eV per atom. The calculation puts the density of states at the Fermi level at 35.47 states/eV/cell. The uncorrected formation energy comes out at -10.14 eV per formula unit. The total magnetization comes out at 0.000 μB per atom.

Cell: 8.1999 8.1999 15.7498 Å, 90.00 90.00 90.00°
Space group I4/mcm (No. 140)
Asymmetric unit:
Sr (0.0000, 0.0000, 0.0000) x4
Sr (0.1669, 0.3331, 0.1494) x16
Ge (0.0000, 0.0000, 0.2500) x4
Ge (0.1120, 0.3880, 0.5000) x8
F (0.0000, 0.5000, 0.2500) x4

---

# 23
The following is a PBE-GGA calculation of a geometry-optimized NdErNiGe structure, from Alexandria via LeMat-Bulk.

Computed properties:
The total energy comes out at -5.417 eV per atom. The calculation puts the density of states at the Fermi level at 6.49 states/eV/cell. The total magnetization comes out at 0.000 μB per atom. Its formation energy is -0.4846 eV/atom.

Cell: 7.0663 7.0663 7.0663 Å, 90.00 90.00 90.00°
Space group F-43m (No. 216)
Asymmetric unit:
Nd (0.0000, 0.0000, 0.0000) x4
Er (0.0000, 0.0000, 0.5000) x4
Ni (0.2500, 0.2500, 0.2500) x4
Ge (0.2500, 0.2500, 0.7500) x4